[1]
KCaAs2: relaxed, PBE.

## Properties
DOS(E_F) = 2.83 states/eV/cell
formation energy = -0.36 eV/atom

abc: 5.289 5.289 5.289
angles: 60.00 60.00 60.00
Fractional positions:
K 0.000 0.000 0.000
Ca 0.500 0.500 0.500
As 0.250 0.250 0.250
As 0.750 0.750 0.750

=====

[2]
Ba2TbB2S6: relaxed, PBE.

## Properties
DOS(E_F) = 4.08 states/eV/cell
ΔE_f (raw) = -14.44 eV per formula unit

abc: 6.650 6.650 7.997
angles: 115.66 115.66 59.52
Fractional positions:
Ba 0.212 0.212 0.210
Ba 0.788 0.788 0.790
Tb 0.000 0.000 0.500
B 0.446 0.446 0.740
B 0.554 0.554 0.260
S 0.221 0.698 0.204
S 0.267 0.267 0.649
S 0.302 0.779 0.796
S 0.698 0.221 0.204
S 0.733 0.733 0.351
S 0.779 0.302 0.796

=====

E / eV/atom: -3.460; -5.549